The following is a GGA-PBE calculation of an optimized crystal structure of Tb5PuTl8, from the Alexandria database.

Lattice parameters (Å, degrees): 8.071 8.071 8.071 109.68 109.05 109.68
Site moments in Bohr magnetons follow the coordinates.
Fractional coordinates of all 14 atoms:
Tl1 0.628 0.917 0.874  0.01
Tl2 0.629 0.416 0.879  0.01
Pu1 0.250 0.500 0.750  5.53
Tb1 0.004 0.377 0.127  0.02
Tl3 0.463 0.584 0.213  0.01
Tl4 0.126 0.754 0.043  0.01
Tb2 0.749 0.623 0.627  0.02
Tb3 0.373 0.122 0.996  0.02
Tl5 0.957 0.083 0.711  0.01
Tb4 0.873 0.878 0.251  0.02
Tl6 0.121 0.750 0.537  0.01
Tb5 0.500 0.000 0.500  -0.03
Tl7 0.787 0.250 0.371  0.01
Tl8 0.289 0.246 0.372  0.01

- ΔH_f (0 K) (eV/f.u.) = -2.61
- space group = No. 82
- DOS(E_F) (states/eV/cell) = 21.41